1.
Density functional theory data (PBE) for a relaxed structure of BaTbOsO6.

E_form (uncorrected) = -2.1245 eV/atom

Lattice parameters (Å, degrees): 5.6369 5.6369 5.6287 90.00 90.00 60.00
Last column: nearest neighbours and their distance in Å.
Atoms (fractional coordinates):
O: 0.3524 0.6015 0.3052  1 Os 1.91
O: 0.3523 0.0462 0.6948  1 Os 1.91
Os: 0.3333 0.3333 0.5000  6 O 1.91
O: 0.6015 0.0461 0.3052  1 Os 1.91
Ba: 0.0000 0.0000 0.0000  6 O 2.73-2.74
O: 0.6014 0.3524 0.6948  1 Os 1.91
O: 0.0461 0.6015 0.6948  1 Os 1.91
O: 0.0461 0.3524 0.3052  1 Os 1.91
Tb: 0.6666 0.6667 0.5000  6 O 2.26

2.
Density functional theory data (PBE) for a relaxed structure of Tm3Mg2Cd6.

Formation energy from the elements = -0.05 eV per formula unit

Lattice parameters (Å, degrees): 4.1539 4.1539 16.5923 97.19 97.19 90.00
Last column: nearest neighbours and their distance in Å.
Atoms (fractional coordinates):
Cd: 0.5745 0.0745 0.1490  2 Mg 2.93, 4 Cd 2.94, 2 Tm 3.20
Cd: 0.2735 0.2735 0.5469  1 Mg 2.90, 1 Tm 3.20
Tm: 0.0000 0.0000 0.0000  8 Cd 3.20
Mg: 0.3623 0.3623 0.7245  5 Cd 2.90-2.93, 4 Tm 3.18
Cd: 0.4255 0.9255 0.8510  2 Mg 2.93, 4 Cd 2.94, 2 Tm 3.20
Tm: 0.1754 0.1754 0.3508  4 Mg 3.18, 5 Cd 3.20-3.38
Cd: 0.7265 0.7265 0.4531  1 Mg 2.90, 1 Tm 3.20
Tm: 0.8246 0.8246 0.6492  4 Mg 3.18, 5 Cd 3.20-3.38
Cd: 0.9255 0.4255 0.8510  2 Mg 2.93, 4 Cd 2.94, 2 Tm 3.20
Mg: 0.6377 0.6377 0.2755  5 Cd 2.90-2.93, 4 Tm 3.18
Cd: 0.0745 0.5745 0.1490  2 Mg 2.93, 4 Cd 2.94, 2 Tm 3.20

3.
Density functional theory data (PBE) for a relaxed structure of SmAl2Cd.

Formation energy from the elements = -0.44 eV per formula unit
Distance to the lowest polymorph of the same formula = 0.2097 eV/atom

Lattice parameters (Å, degrees): 4.9839 4.9839 4.9821 59.99 59.99 60.00
Last column: nearest neighbours and their distance in Å.
Atoms (fractional coordinates):
Al: 0.7501 0.7501 0.7498  4 Cd 3.05, 4 Sm 3.05
Al: 0.2499 0.2499 0.2502  4 Cd 3.05, 4 Sm 3.05
Cd: 0.0000 0.0000 0.0000  8 Al 3.05
Sm: 0.5000 0.5000 0.5000  8 Al 3.05

4.
Density functional theory data (PBE) for a relaxed structure of Sc3AlO.

E_form (uncorrected) = -1.1929 eV/atom

Lattice parameters (Å, degrees): 4.2582 6.2440 7.2255 90.00 90.00 90.00
Last column: nearest neighbours and their distance in Å.
Atoms (fractional coordinates):
Al: 0.7500 0.7500 0.7350  6 Sc 2.79-3.11, 1 O 2.89
Sc: 0.2500 0.7500 0.4203  2 O 2.22
O: 0.2500 0.2500 0.6649  4 Sc 2.04-2.22
Sc: 0.2500 0.4952 0.8517  1 O 2.04
Sc: 0.7500 0.9952 0.1483  1 O 2.04
O: 0.7500 0.7500 0.3351  4 Sc 2.04-2.22
Sc: 0.2500 0.0048 0.8517  1 O 2.04
Al: 0.2500 0.2500 0.2650  6 Sc 2.79-3.11, 1 O 2.89
Sc: 0.7500 0.2500 0.5797  2 O 2.22
Sc: 0.7500 0.5048 0.1483  1 O 2.04

5.
Density functional theory data (PBE) for a relaxed structure of TbErSb2.

E_form (uncorrected) = -1.1209 eV/atom
Distance to the lowest polymorph of the same formula = 0.0000 eV/atom

Lattice parameters (Å, degrees): 4.3782 4.3782 7.5783 89.99 106.80 119.99
Last column: nearest neighbours and their distance in Å.
Atoms (fractional coordinates):
Er: 0.9998 0.0004 0.0002  6 Sb 3.08
Sb: 0.5024 0.2511 0.7534  3 Er 3.08, 3 Tb 3.11
Sb: 0.4977 0.7487 0.2464  3 Er 3.08, 3 Tb 3.11
Tb: 0.0001 0.4998 0.4999  6 Sb 3.11

6.
Density functional theory data (PBE) for a relaxed structure of TbTm2HfP4.

Formation energy from the elements = -12.20 eV per formula unit

Lattice parameters (Å, degrees): 3.8901 6.7497 6.7415 109.25 90.00 90.00
Last column: nearest neighbours and their distance in Å.
Atoms (fractional coordinates):
P: 0.0000 0.2406 0.7525  1 Hf 2.68, 3 Tm 2.74-2.82, 2 Tb 2.78
P: 0.5000 0.2374 0.2408  2 Hf 2.70, 3 Tm 2.73-2.82, 1 Tb 2.77
Tm: 0.5000 0.0000 0.5000  6 P 2.73-2.74
Tm: 0.0000 0.5000 0.5000  6 P 2.82
Tb: 0.5000 0.5000 0.0000  6 P 2.77-2.78
Hf: 0.0000 0.0000 0.0000  6 P 2.68-2.70
P: 0.0000 0.7594 0.2475  1 Hf 2.68, 3 Tm 2.74-2.82, 2 Tb 2.78
P: 0.5000 0.7626 0.7592  2 Hf 2.70, 3 Tm 2.73-2.82, 1 Tb 2.77

7.
Density functional theory data (PBE) for a relaxed structure of Li2LaAlPd.

Formation energy from the elements = -1.35 eV per formula unit

Lattice parameters (Å, degrees): 4.7567 4.7567 4.8086 90.00 90.00 90.00
Last column: nearest neighbours and their distance in Å.
Atoms (fractional coordinates):
Pd: 0.0000 0.0000 0.0000  4 Li 2.38, 2 Al 2.40
Li: 0.0000 0.5000 0.0000  2 Pd 2.38
Al: 0.0000 0.0000 0.5000  2 Pd 2.40
Li: 0.5000 0.0000 0.0000  2 Pd 2.38
La: 0.5000 0.5000 0.5000  4 Al 3.36, 8 Li 3.38

8.
Density functional theory data (PBE) for a relaxed structure of MgPaSn.

Formation energy from the elements = 0.33 eV per formula unit

Lattice parameters (Å, degrees): 4.9447 4.9447 8.2610 72.59 72.59 60.00
Last column: nearest neighbours and their distance in Å.
Atoms (fractional coordinates):
Pa: 0.8405 0.8405 0.4784  3 Pa 2.87, 1 Mg 3.17
Mg: 0.2959 0.2959 0.1124  4 Sn 2.97-3.11, 1 Pa 3.17
Sn: 0.5766 0.5766 0.2701  4 Mg 2.97-3.11, 3 Pa 3.28
Mg: 0.7041 0.7041 0.8876  4 Sn 2.97-3.11, 1 Pa 3.17
Pa: 0.1595 0.1595 0.5216  3 Pa 2.87, 1 Mg 3.17
Sn: 0.4234 0.4234 0.7299  4 Mg 2.97-3.11, 3 Pa 3.28

9.
Density functional theory data (PBE) for a relaxed structure of LiTa2.

Formation energy from the elements = 1.00 eV per formula unit
Distance to the lowest polymorph of the same formula = 0.0630 eV/atom

Lattice parameters (Å, degrees): 5.3260 5.3260 7.8397 73.23 73.23 30.73
Last column: nearest neighbours and their distance in Å.
Atoms (fractional coordinates):
Li: 0.6422 0.6422 0.9770  5 Li 2.74-2.83, 4 Ta 3.01-3.05
Ta: 0.6805 0.6805 0.3694  7 Ta 2.78-2.92
Ta: 0.0378 0.0378 0.6991  7 Ta 2.78-2.92, 4 Li 3.01-3.05
Li: 0.3578 0.3578 0.0230  5 Li 2.74-2.83, 4 Ta 3.01-3.05
Ta: 0.3195 0.3195 0.6306  7 Ta 2.78-2.92
Ta: 0.9622 0.9622 0.3009  7 Ta 2.78-2.92, 4 Li 3.01-3.05

10.
Density functional theory data (PBE) for a relaxed structure of Na3Pu3MgS8.

E_form (uncorrected) = -1.4277 eV/atom

Lattice parameters (Å, degrees): 7.9035 7.9086 11.2234 134.27 90.00 119.98
Last column: nearest neighbours and their distance in Å.
Atoms (fractional coordinates):
S: 0.0268 0.5515 0.2856  2 Pu 2.68-2.70, 1 Mg 2.69, 2 Na 2.93-2.98
Na: 0.5000 0.5000 0.0000  6 S 2.93-2.96
Pu: 0.5000 0.0000 0.5000  6 S 2.68-2.70
S: 0.0182 0.0364 0.2791  1 Mg 2.68, 2 Pu 2.73, 3 Na 2.94
Na: 0.0000 0.0000 0.0000  6 S 2.94-2.98
S: 0.5209 0.0418 0.2805  3 Pu 2.70-2.71, 2 Na 2.96
Na: 0.0000 0.5000 0.0000  6 S 2.93-2.96
S: 0.4753 0.4485 0.7144  2 Pu 2.68-2.70, 1 Mg 2.69, 2 Na 2.93-2.98
Pu: 0.0000 0.5000 0.5000  6 S 2.70-2.73
Mg: 0.0000 0.0000 0.5000  6 S 2.68-2.69
S: 0.9732 0.4485 0.7144  2 Pu 2.68-2.70, 1 Mg 2.69, 2 Na 2.93-2.98
S: 0.4791 0.9582 0.7195  3 Pu 2.70-2.71, 2 Na 2.96
S: 0.5247 0.5515 0.2856  2 Pu 2.68-2.70, 1 Mg 2.69, 2 Na 2.93-2.98
S: 0.9818 0.9636 0.7209  1 Mg 2.68, 2 Pu 2.73, 3 Na 2.94
Pu: 0.5000 0.5000 0.5000  6 S 2.70-2.73

11.
Density functional theory data (PBE) for a relaxed structure of LiAlTlBi.

Formation energy from the elements = -0.13 eV per formula unit

Lattice parameters (Å, degrees): 5.1947 5.1947 5.1947 60.00 60.00 60.00
Last column: nearest neighbours and their distance in Å.
Atoms (fractional coordinates):
Tl: 0.2500 0.2500 0.2500  4 Li 3.18, 4 Al 3.18
Bi: 0.7500 0.7500 0.7500  4 Al 3.18, 4 Li 3.18
Al: 0.5000 0.5000 0.5000  4 Tl 3.18, 4 Bi 3.18
Li: 0.0000 0.0000 0.0000  4 Bi 3.18, 4 Tl 3.18

12.
Density functional theory data (PBE) for a relaxed structure of NiSe.

E_form (uncorrected) = -0.0577 eV/atom

Lattice parameters (Å, degrees): 3.8851 3.8851 17.2024 90.00 90.00 120.00
Last column: nearest neighbours and their distance in Å.
Atoms (fractional coordinates):
Se: 0.6667 0.3333 0.7500  5 Ni 2.24-2.36
Ni: 0.6667 0.3333 0.6130  4 Se 2.34-2.36
Se: 0.0000 0.0000 0.0745  3 Ni 2.34, 1 Se 2.56
Se: 0.3333 0.6667 0.2500  5 Ni 2.24-2.36
Ni: 0.3333 0.6667 0.7500  3 Se 2.24
Ni: 0.6667 0.3333 0.2500  3 Se 2.24
Se: 0.0000 0.0000 0.5745  3 Ni 2.34, 1 Se 2.56
Ni: 0.3333 0.6667 0.1130  4 Se 2.34-2.36
Ni: 0.3333 0.6667 0.3870  4 Se 2.34-2.36
Se: 0.0000 0.0000 0.4255  3 Ni 2.34, 1 Se 2.56
Ni: 0.6667 0.3333 0.8870  4 Se 2.34-2.36
Se: 0.0000 0.0000 0.9255  3 Ni 2.34, 1 Se 2.56